# KLa2Be PBE optimized geometry
# ΔE_f ... 0.25 eV per atom
# DOS(E_F) ... 4.4 states/eV per cell
data_KLa2Be
_cell_length_a 3.716
_cell_length_b 3.712
_cell_length_c 11.166
_cell_angle_alpha 71.09
_cell_angle_beta 90.00
_cell_angle_gamma 90.00
_symmetry_space_group_name_H-M 'P 1'
_symmetry_Int_Tables_number 1
loop_
_symmetry_equiv_pos_as_xyz
'x,y,z'
loop_
_atom_site_label
_atom_site_type_symbol
_atom_site_fract_x
_atom_site_fract_y
_atom_site_fract_z
La1 La 0.000 0.892 0.103
La2 La 0.000 0.608 0.397
K1 K 0.500 0.750 0.750
Be1 Be 0.500 0.250 0.250